The following is a GGA-PBE calculation of a relaxed La2InFe crystal, from the Alexandria database. Values from VASP.

```
&SYSTEM
  ibrav = 0, nat = 16, ntyp = 3
/
ATOMIC_SPECIES
La 138.91 La.upf
In 114.82 In.upf
Fe 55.84 Fe.upf
ATOMIC_POSITIONS angstrom
La 1.455 2.072 0.767
La 2.072 5.598 2.300
La 2.072 6.832 5.367
La 2.689 2.072 3.834
La 5.598 6.215 3.834
La 6.215 1.455 5.367
La 6.215 2.689 2.300
La 6.832 6.215 0.767
In 0.000 0.000 3.067
In 0.000 4.144 4.601
In 4.144 0.000 1.534
In 4.144 4.144 0.000
Fe 0.000 0.000 0.000
Fe 0.000 4.144 1.534
Fe 4.144 0.000 4.601
Fe 4.144 4.144 3.067
CELL_PARAMETERS angstrom
8.287 0.000 0.000
0.000 8.287 0.000
0.000 0.000 6.134
```

Properties
- SG = I-42d (122)
- spin magnetization (μB per formula unit) = 1.0
- ΔE_f (eV per atom) = 0.11

=====

The following is a GGA-PBE calculation of a relaxed LaInFe crystal, from the Alexandria database. Values from VASP.

```
&SYSTEM
  ibrav = 0, nat = 12, ntyp = 3
/
ATOMIC_SPECIES
La 138.91 La.upf
In 114.82 In.upf
Fe 55.84 Fe.upf
ATOMIC_POSITIONS angstrom
La 0.000 0.000 0.000
La 0.000 3.347 3.347
La 3.347 0.000 3.347
La 3.347 3.347 0.000
In 0.000 0.000 3.347
In 0.000 3.347 0.000
In 3.347 0.000 0.000
In 3.347 3.347 3.347
Fe 1.674 1.674 1.674
Fe 1.674 5.021 5.021
Fe 5.021 1.674 5.021
Fe 5.021 5.021 1.674
CELL_PARAMETERS angstrom
6.695 0.000 0.000
0.000 6.695 0.000
0.000 0.000 6.695
```

Properties
- SG = F-43m (216)
- spin magnetization (μB per formula unit) = 1.8
- ΔE_f (eV per atom) = 0.14